Entry from Alexandria: a geometry-optimized SrSb2Pt structure (GGA-PBEsol).

Lattice parameters (Å, degrees): 4.2120 5.1509 5.1509 107.70 90.00 90.00
With the nearest neighbours (Å) after each atom.
Positions (direct):
Sb (0.0000, 0.8059, 0.1941)  2 Pt 2.65
Sb (0.0000, 0.1941, 0.8059)  2 Pt 2.65
Pt (0.5000, 0.0000, 0.0000)  4 Sb 2.65
Sr (0.5000, 0.5000, 0.5000)  2 Pt 3.04, 4 Sb 3.30

The value obtained for the density of states at the Fermi level is 0.57 states/eV per cell. For the energy relative to the elements, uncorrected, the calculation gives -0.729 eV/atom. The space group is Cmmm, No. 65.